Record 1
A plane-wave DFT calculation with PBE was carried out for a geometry-optimized Ag3Pd5Pb12 structure.

As for the magnetization: 0.0 μB per formula unit. As for the crystal system: cubic. The value obtained for the total DFT energy (no corrections) is -3.8646 eV/atom.

abc: 16.5983 16.5983 16.5983
angles: 90.00 90.00 90.00
Space group Ia-3d (No. 230)
Unique sites:
Ag1 0.0000 0.2500 0.1250 x24
Pd1 0.0000 0.0000 0.0000 x16
Pd2 0.0000 0.2500 0.3750 x24
Pb1 0.0241 0.0749 0.6489 x96

=====

Record 2
A plane-wave DFT calculation with PBE was carried out for a geometry-optimized AgPd14Pb structure.

As for the magnetization: 0.0 μB per formula unit. As for the crystal system: tetragonal. The value obtained for the total DFT energy (no corrections) is -5.0091 eV/atom.

abc: 5.6740 5.6740 7.9580
angles: 90.00 90.00 90.00
Space group P4/mmm (No. 123)
Unique sites:
Ag1 0.0000 0.0000 0.0000 x1
Pd1 0.0000 0.0000 0.5000 x1
Pd2 0.0000 0.5000 0.0000 x2
Pd3 0.0000 0.5000 0.5000 x2
Pd4 0.2488 0.2488 0.2552 x8
Pd5 0.5000 0.5000 0.5000 x1
Pb1 0.5000 0.5000 0.0000 x1

=====

Record 3
A plane-wave DFT calculation with PBE was carried out for a geometry-optimized Ag2Pd6Pb structure.

As for the energy above the most stable polymorph in this dataset: 116 meV per atom. As for the magnetization: 0.0 μB per formula unit. As for the crystal system: monoclinic.

abc: 14.4426 7.7468 2.8979
angles: 90.00 101.40 90.00
Space group C2/m (No. 12)
Unique sites:
Ag1 0.1673 0.0000 0.1562 x4
Pd1 0.0000 0.1850 0.0000 x4
Pd2 0.1675 0.3115 0.6616 x8
Pb1 0.0000 0.5000 0.5000 x2

=====

Record 4
A plane-wave DFT calculation with PBE was carried out for a geometry-optimized Ag5Pd4Pb structure.

As for the magnetization: 0.0 μB per formula unit. As for the crystal system: monoclinic. The value obtained for the total DFT energy (no corrections) is -3.8259 eV/atom.

abc: 13.6947 4.4776 6.4257
angles: 90.00 90.81 90.00
Space group C2/m (No. 12)
Unique sites:
Ag1 0.0000 0.0000 0.0000 x2
Ag2 0.1691 0.5000 0.0235 x4
Ag3 0.1787 0.5000 0.4917 x4
Pd1 0.0088 0.5000 0.7459 x4
Pd2 0.1598 0.0000 0.7546 x4
Pb1 0.0000 0.0000 0.5000 x2

=====

Number 1: Fermi-level density of states 0.72 states/eV/atom. Number 2: Fermi-level density of states 2.16 states/eV/atom. Number 3: Fermi-level density of states 0.62 states/eV/atom. Number 4: Fermi-level density of states 0.27 states/eV/atom.